A plane-wave DFT calculation with GGA-PBE was carried out for a relaxed BeSiPdPb2 crystal.

Total moment = 0.000 μB per atom
Crystal system = tetragonal

Cell: 5.207 5.207 4.061 Å, 90.00 90.00 90.00°
Space group P4/mmm (No. 123)
One atom of each set of equivalent atoms:
Be1 0.000 0.000 0.000 [1 per cell]
Si1 0.000 0.000 0.500 [1 per cell]
Pd1 0.500 0.500 0.500 [1 per cell]
Pb1 0.000 0.500 0.000 [2 per cell]

---

A plane-wave DFT calculation with GGA-PBE was carried out for a relaxed BeSiPd2Pb crystal.

Total moment = 0.000 μB per atom
Crystal system = tetragonal

Cell: 4.551 4.551 5.307 Å, 90.00 90.00 90.00°
Space group P4/mmm (No. 123)
One atom of each set of equivalent atoms:
Be1 0.000 0.000 0.000 [1 per cell]
Si1 0.500 0.500 0.500 [1 per cell]
Pd1 0.000 0.500 0.500 [2 per cell]
Pb1 0.500 0.500 0.000 [1 per cell]

---

A plane-wave DFT calculation with GGA-PBE was carried out for a relaxed Be2TePdPb crystal.

Total moment = 0.000 μB per atom
Crystal system = tetragonal

Cell: 4.503 4.503 5.503 Å, 90.00 90.00 90.00°
Space group P4/mmm (No. 123)
One atom of each set of equivalent atoms:
Be1 0.000 0.500 0.000 [2 per cell]
Te1 0.000 0.000 0.500 [1 per cell]
Pd1 0.500 0.500 0.000 [1 per cell]
Pb1 0.500 0.500 0.500 [1 per cell]

---

A plane-wave DFT calculation with GGA-PBE was carried out for a relaxed BeVPd2Pb crystal.

Total moment = 0.210 μB per atom
Crystal system = tetragonal

Cell: 4.706 4.706 4.470 Å, 90.00 90.00 90.00°
Space group P4/mmm (No. 123)
One atom of each set of equivalent atoms:
Be1 0.000 0.000 0.000 [1 per cell]
V1 0.000 0.000 0.500 [1 per cell]
Pd1 0.000 0.500 0.500 [2 per cell]
Pb1 0.500 0.500 0.000 [1 per cell]

---

A plane-wave DFT calculation with GGA-PBE was carried out for a relaxed BeV2PdPb crystal.

Total moment = 0.186 μB per atom
Crystal system = tetragonal

Cell: 4.275 4.275 4.293 Å, 90.00 90.00 90.00°
Space group P4/mmm (No. 123)
One atom of each set of equivalent atoms:
Be1 0.000 0.000 0.000 [1 per cell]
V1 0.000 0.500 0.000 [2 per cell]
Pd1 0.000 0.000 0.500 [1 per cell]
Pb1 0.500 0.500 0.500 [1 per cell]

---

A plane-wave DFT calculation with GGA-PBE was carried out for a relaxed ZrBePd2Pb crystal.

Total moment = 0.000 μB per atom
Crystal system = tetragonal

Cell: 4.315 4.315 4.873 Å, 90.00 90.00 90.00°
Space group P4/mmm (No. 123)
One atom of each set of equivalent atoms:
Zr1 0.000 0.000 0.000 [1 per cell]
Be1 0.500 0.500 0.500 [1 per cell]
Pd1 0.000 0.500 0.500 [2 per cell]
Pb1 0.500 0.500 0.000 [1 per cell]

---

A plane-wave DFT calculation with GGA-PBE was carried out for a relaxed Pm2BePb crystal.

Total moment = 0.000 μB per atom
E above lowest polymorph = 0 meV/atom
Crystal system = tetragonal

Cell: 3.591 3.591 7.993 Å, 90.00 90.00 90.00°
Space group P4/mmm (No. 123)
One atom of each set of equivalent atoms:
Pm1 0.000 0.000 0.215 [2 per cell]
Be1 0.500 0.500 0.000 [1 per cell]
Pb1 0.500 0.500 0.500 [1 per cell]

---

A plane-wave DFT calculation with GGA-PBE was carried out for a relaxed PmBePb crystal.

Total moment = 0.000 μB per atom
E above lowest polymorph = 329 meV/atom
Crystal system = tetragonal

Cell: 3.705 3.705 10.620 Å, 90.00 90.00 90.00°
Space group P4/nmm (No. 129, origin choice 2)
One atom of each set of equivalent atoms:
Pm1 0.250 0.250 0.130 [2 per cell]
Be1 0.250 0.250 0.428 [2 per cell]
Pb1 0.250 0.250 0.666 [2 per cell]

---

A plane-wave DFT calculation with GGA-PBE was carried out for a relaxed Pm3BePb crystal.

Total moment = 0.000 μB per atom
Crystal system = cubic

Cell: 5.308 5.308 5.308 Å, 90.00 90.00 90.00°
Space group Pm-3m (No. 221)
One atom of each set of equivalent atoms:
Pm1 0.000 0.000 0.500 [3 per cell]
Be1 0.000 0.000 0.000 [1 per cell]
Pb1 0.500 0.500 0.500 [1 per cell]

---

A plane-wave DFT calculation with GGA-PBE was carried out for a relaxed Pm2BePb crystal.

Total moment = 0.000 μB per atom
E above lowest polymorph = 61 meV/atom
Crystal system = cubic

Cell: 7.484 7.484 7.484 Å, 90.00 90.00 90.00°
Space group Fm-3m (No. 225)
One atom of each set of equivalent atoms:
Pm1 0.250 0.250 0.250 [8 per cell]
Be1 0.000 0.000 0.000 [4 per cell]
Pb1 0.000 0.000 0.500 [4 per cell]

---

A plane-wave DFT calculation with GGA-PBE was carried out for a relaxed BePtPb crystal.

Total moment = 0.000 μB per atom
E above lowest polymorph = 194 meV/atom
Crystal system = cubic

Cell: 6.199 6.199 6.199 Å, 90.00 90.00 90.00°
Space group F-43m (No. 216)
One atom of each set of equivalent atoms:
Be1 0.000 0.000 0.000 [4 per cell]
Pt1 0.250 0.250 0.750 [4 per cell]
Pb1 0.000 0.000 0.500 [4 per cell]

---

A plane-wave DFT calculation with GGA-PBE was carried out for a relaxed BePt2Pb crystal.

Total moment = 0.000 μB per atom
E above lowest polymorph = 104 meV/atom
Crystal system = orthorhombic

Cell: 3.198 3.337 13.081 Å, 90.00 90.00 90.00°
Space group Imm2 (No. 44)
One atom of each set of equivalent atoms:
Be1 0.000 0.000 0.000 [2 per cell]
Pt1 0.000 0.000 0.446 [2 per cell]
Pt2 0.000 0.500 0.122 [2 per cell]
Pb1 0.000 0.500 0.760 [2 per cell]

---

no.,electronic total energy (eV per formula unit)
1,-19.42
2,-20.19
3,-17.65
4,-23.30
5,-28.91
6,-26.58
7,-17.53
8,-11.47
9,-21.82
10,-17.29
11,-13.29
12,-20.44